Entry 1:
## Y2NbRu2 (GGA-PBEsol)

Data for crystalline Y2NbRu2 at its relaxed geometry.

a = 4.6611 Å, b = 6.5992 Å, c = 6.5992 Å
α = 90.00°, β = 90.00°, γ = 90.00°
Fractional positions:
Ru (0.0000, 0.3681, 0.8681)
Ru (0.0000, 0.1319, 0.3681)
Ru (0.0000, 0.8681, 0.6319)
Y (0.5000, 0.1788, 0.6788)
Nb (0.0000, 0.5000, 0.5000)
Y (0.5000, 0.3212, 0.1788)
Nb (0.0000, 0.0000, 0.0000)
Ru (0.0000, 0.6319, 0.1319)
Y (0.5000, 0.8212, 0.3212)
Y (0.5000, 0.6788, 0.8212)

Values from the calculation:
- symmetry = P4/mbm
- excess energy over the best structure of this formula in the dataset (meV/atom) = 0
- M_tot (μB/f.u.) = 0.00
- Fermi-level density of states (states/eV/f.u.) = 4.9
- ΔE_f (eV/atom) = -0.151

Entry 2:
## ZrNbRu3 (GGA-PBEsol)

Data for crystalline ZrNbRu3 at its relaxed geometry.

a = 4.5993 Å, b = 4.5993 Å, c = 4.5993 Å
α = 90.00°, β = 90.00°, γ = 90.00°
Fractional positions:
Ru (0.0000, 0.0000, 0.5000)
Zr (0.5000, 0.5000, 0.5000)
Ru (0.0000, 0.5000, 0.0000)
Nb (0.0000, 0.0000, 0.0000)
Ru (0.5000, 0.0000, 0.0000)

Values from the calculation:
- symmetry = Pm-3m
- M_tot (μB/f.u.) = 0.00
- Fermi-level density of states (states/eV/f.u.) = 4.3
- ΔE_f (eV/atom) = 1.071

Entry 3:
## NbS (GGA-PBEsol)

Data for crystalline NbS at its relaxed geometry.

a = 3.2656 Å, b = 3.2656 Å, c = 6.6234 Å
α = 90.00°, β = 90.00°, γ = 120.00°
Fractional positions:
Nb (0.0000, 0.0000, 0.0000)
S (0.3333, 0.6667, 0.2500)
Nb (0.0000, 0.0000, 0.5000)
S (0.6667, 0.3333, 0.7500)

Values from the calculation:
- symmetry = P6_3/mmc
- M_tot (μB/f.u.) = 0.00
- ΔE_f (raw) (eV per atom) = -1.054
- Fermi-level density of states (states/eV/f.u.) = 1.4

Entry 4:
## NbS2 (GGA-PBEsol)

Data for crystalline NbS2 at its relaxed geometry.

a = 3.3129 Å, b = 3.3000 Å, c = 6.2585 Å
α = 82.37°, β = 74.65°, γ = 59.87°
Fractional positions:
S (0.8737, 0.5121, 0.7405)
Nb (0.0782, 0.8437, 0.0000)
S (0.6142, 0.5121, 0.2595)

Values from the calculation:
- symmetry = Fmm2
- M_tot (μB/f.u.) = 0.00
- ΔE_f (raw) (eV per atom) = -1.073
- Fermi-level density of states (states/eV/f.u.) = 3.1

Entry 5:
## NbS2 (GGA-PBEsol)

Data for crystalline NbS2 at its relaxed geometry.

a = 3.3059 Å, b = 3.3059 Å, c = 6.3044 Å
α = 74.80°, β = 74.80°, γ = 60.00°
Fractional positions:
S (0.5799, 0.5799, 0.2602)
S (0.7537, 0.7537, 0.7389)
Nb (0.0004, 0.0004, 0.9989)

Values from the calculation:
- symmetry = R3m
- M_tot (μB/f.u.) = 0.00
- ΔE_f (raw) (eV per atom) = -1.076
- Fermi-level density of states (states/eV/f.u.) = 3.2

Entry 6:
## Nb7S8 (GGA-PBEsol)

Data for crystalline Nb7S8 at its relaxed geometry.

a = 6.4406 Å, b = 6.6232 Å, c = 6.6232 Å
α = 120.00°, β = 90.00°, γ = 90.00°
Fractional positions:
Nb (0.4994, 0.8511, 0.7021)
S (0.2808, 0.6667, 0.3333)
S (0.2346, 0.1712, 0.8288)
S (0.7459, 0.0082, 0.5041)
S (0.2346, 0.1712, 0.3425)
Nb (0.0012, 0.3724, 0.1862)
S (0.7811, 0.0000, 0.0000)
S (0.7459, 0.4959, 0.9918)
S (0.2346, 0.6575, 0.8288)
Nb (0.4994, 0.8511, 0.1489)
Nb (0.4950, 0.3333, 0.6667)
Nb (0.0012, 0.8138, 0.6276)
S (0.7459, 0.4959, 0.5041)
Nb (0.4994, 0.2979, 0.1489)
Nb (0.0012, 0.8138, 0.1862)

Values from the calculation:
- symmetry = P3m1
- M_tot (μB/f.u.) = 0.00
- ΔE_f (raw) (eV per atom) = -1.083
- Fermi-level density of states (states/eV/f.u.) = 9.2

Entry 7:
## NbS2 (GGA-PBEsol)

Data for crystalline NbS2 at its relaxed geometry.

a = 3.3248 Å, b = 3.3248 Å, c = 6.8077 Å
α = 75.87°, β = 75.87°, γ = 60.00°
Fractional positions:
S (0.4127, 0.4127, 0.7620)
S (0.5873, 0.5873, 0.2380)
Nb (0.0000, 0.0000, 0.0000)

Values from the calculation:
- symmetry = R-3m
- M_tot (μB/f.u.) = 0.00
- ΔE_f (raw) (eV per atom) = -1.028
- Fermi-level density of states (states/eV/f.u.) = 1.6

Entry 8:
## NbS (GGA-PBEsol)

Data for crystalline NbS at its relaxed geometry.

a = 3.2778 Å, b = 3.2778 Å, c = 3.2954 Å
α = 90.00°, β = 90.00°, γ = 120.00°
Fractional positions:
S (0.0000, 0.0000, 0.5000)
Nb (0.3333, 0.6667, 0.0000)

Values from the calculation:
- symmetry = P-6m2
- M_tot (μB/f.u.) = 0.00
- ΔE_f (raw) (eV per atom) = -1.038
- Fermi-level density of states (states/eV/f.u.) = 1.2

Entry 9:
## NbS2 (GGA-PBEsol)

Data for crystalline NbS2 at its relaxed geometry.

a = 3.3090 Å, b = 3.3090 Å, c = 23.6822 Å
α = 90.00°, β = 90.00°, γ = 119.99°
Fractional positions:
S (0.5018, 0.4982, 0.2244)
S (0.1653, 0.8347, 0.9772)
S (0.8347, 0.1653, 0.4772)
Nb (0.8351, 0.1649, 0.2901)
Nb (0.8320, 0.1680, 0.0433)
Nb (0.1680, 0.8320, 0.5433)
S (0.1654, 0.8346, 0.1092)
S (0.4982, 0.5018, 0.8563)
S (0.8346, 0.1654, 0.6092)
S (0.5018, 0.4982, 0.3563)
S (0.4982, 0.5018, 0.7244)
Nb (0.1649, 0.8351, 0.7901)

Values from the calculation:
- symmetry = Cmc2_1
- M_tot (μB/f.u.) = 0.00
- ΔE_f (raw) (eV per atom) = -1.080
- Fermi-level density of states (states/eV/f.u.) = 3.0

Entry 10:
## Nb21S8 (GGA-PBEsol)

Data for crystalline Nb21S8 at its relaxed geometry.

a = 3.3406 Å, b = 11.9624 Å, c = 11.9624 Å
α = 88.88°, β = 81.97°, γ = 81.97°
Fractional positions:
Nb (0.6157, 0.1990, 0.5696)
Nb (0.4500, 0.4690, 0.6309)
Nb (0.1923, 0.0059, 0.6096)
S (0.8626, 0.0733, 0.2016)
Nb (0.1853, 0.4304, 0.1990)
S (0.3642, 0.4229, 0.8488)
Nb (0.5488, 0.0865, 0.8159)
Nb (0.3647, 0.1841, 0.0865)
Nb (0.7219, 0.2574, 0.2989)
Nb (0.2781, 0.7426, 0.7011)
Nb (0.4512, 0.9135, 0.1841)
Nb (0.8077, 0.9941, 0.3904)
Nb (0.0208, 0.7011, 0.2574)
Nb (0.9792, 0.2989, 0.7426)
Nb (0.9190, 0.6309, 0.5310)
Nb (0.0000, 0.0000, 0.0000)
Nb (0.3843, 0.8010, 0.4304)
S (0.7870, 0.8488, 0.5771)
Nb (0.1982, 0.6096, 0.9941)
Nb (0.6353, 0.8159, 0.9135)
S (0.0641, 0.7984, 0.0733)
Nb (0.0810, 0.3691, 0.4690)
S (0.2130, 0.1512, 0.4229)
Nb (0.8147, 0.5696, 0.8010)
Nb (0.5500, 0.5310, 0.3691)
S (0.9359, 0.2016, 0.9267)
S (0.6358, 0.5771, 0.1512)
S (0.1374, 0.9267, 0.7984)
Nb (0.8018, 0.3904, 0.0059)

Values from the calculation:
- symmetry = I4/m
- M_tot (μB/f.u.) = 0.00
- ΔE_f (raw) (eV per atom) = -0.644
- Fermi-level density of states (states/eV/f.u.) = 18.8

Entry 11:
## NbS2 (GGA-PBEsol)

Data for crystalline NbS2 at its relaxed geometry.

a = 3.3070 Å, b = 3.3070 Å, c = 11.6904 Å
α = 90.00°, β = 90.00°, γ = 120.00°
Fractional positions:
Nb (0.0000, 0.0000, 0.2500)
S (0.6667, 0.3333, 0.6162)
S (0.6667, 0.3333, 0.8838)
S (0.3333, 0.6667, 0.1162)
S (0.3333, 0.6667, 0.3838)
Nb (0.0000, 0.0000, 0.7500)

Values from the calculation:
- symmetry = P6_3/mmc
- M_tot (μB/f.u.) = 0.00
- ΔE_f (raw) (eV per atom) = -1.082
- Fermi-level density of states (states/eV/f.u.) = 3.0

Entry 12:
## NbS3 (GGA-PBEsol)

Data for crystalline NbS3 at its relaxed geometry.

a = 3.3233 Å, b = 4.8324 Å, c = 9.0761 Å
α = 97.63°, β = 90.00°, γ = 90.00°
Fractional positions:
S (0.2500, 0.5670, 0.8270)
S (0.2500, 0.2374, 0.4494)
S (0.7500, 0.9025, 0.1721)
Nb (0.2500, 0.7100, 0.3400)
S (0.2500, 0.0975, 0.8279)
S (0.7500, 0.4330, 0.1730)
Nb (0.7500, 0.2900, 0.6600)
S (0.7500, 0.7626, 0.5506)

Values from the calculation:
- symmetry = P2_1/m
- M_tot (μB/f.u.) = 0.00
- ΔE_f (raw) (eV per atom) = -0.834
- Fermi-level density of states (states/eV/f.u.) = 1.2

Entry 13:
## NbS2 (GGA-PBEsol)

Data for crystalline NbS2 at its relaxed geometry.

a = 3.3079 Å, b = 3.3079 Å, c = 6.5708 Å
α = 90.00°, β = 90.00°, γ = 120.00°
Fractional positions:
S (0.0000, 0.0000, 0.2620)
S (0.0000, 0.0000, 0.7380)
Nb (0.3333, 0.6667, 0.5000)

Values from the calculation:
- symmetry = P-6m2
- M_tot (μB/f.u.) = 0.00
- ΔE_f (raw) (eV per atom) = -1.064
- Fermi-level density of states (states/eV/f.u.) = 3.0

Entry 14:
## NbS2 (GGA-PBEsol)

Data for crystalline NbS2 at its relaxed geometry.

a = 3.3192 Å, b = 3.3192 Å, c = 5.8435 Å
α = 90.00°, β = 90.00°, γ = 120.00°
Fractional positions:
S (0.6667, 0.3333, 0.7330)
Nb (0.0000, 0.0000, 0.0000)
S (0.3333, 0.6667, 0.2670)

Values from the calculation:
- symmetry = P-3m1
- M_tot (μB/f.u.) = 0.00
- ΔE_f (raw) (eV per atom) = -1.045
- Fermi-level density of states (states/eV/f.u.) = 1.6

Entry 15:
## NbSb3S (GGA-PBEsol)

Data for crystalline NbSb3S at its relaxed geometry.

a = 5.0065 Å, b = 5.0065 Å, c = 5.0065 Å
α = 90.00°, β = 90.00°, γ = 90.00°
Fractional positions:
Nb (0.5000, 0.5000, 0.5000)
Sb (0.5000, 0.0000, 0.0000)
Sb (0.0000, 0.0000, 0.5000)
S (0.0000, 0.0000, 0.0000)
Sb (0.0000, 0.5000, 0.0000)

Values from the calculation:
- symmetry = Pm-3m
- M_tot (μB/f.u.) = 2.16
- ΔE_f (raw) (eV per atom) = 0.817
- Fermi-level density of states (states/eV/f.u.) = 4.9

Entry 16:
## Nb2TlSbS (GGA-PBEsol)

Data for crystalline Nb2TlSbS at its relaxed geometry.

a = 4.6030 Å, b = 4.6030 Å, c = 5.4064 Å
α = 90.00°, β = 90.00°, γ = 90.00°
Fractional positions:
Nb (0.5000, 0.0000, 0.0000)
S (0.0000, 0.0000, 0.0000)
Sb (0.5000, 0.5000, 0.5000)
Nb (0.0000, 0.5000, 0.0000)
Tl (0.0000, 0.0000, 0.5000)

Values from the calculation:
- symmetry = P4/mmm
- M_tot (μB/f.u.) = 0.00
- ΔE_f (raw) (eV per atom) = 0.474
- Fermi-level density of states (states/eV/f.u.) = 5.8

Entry 17:
## Nb2Se2S (GGA-PBEsol)

Data for crystalline Nb2Se2S at its relaxed geometry.

a = 4.2244 Å, b = 4.2244 Å, c = 6.3267 Å
α = 109.50°, β = 109.50°, γ = 90.00°
Fractional positions:
Nb (0.6169, 0.6169, 0.2338)
Nb (0.3831, 0.3831, 0.7662)
S (0.0000, 0.0000, 0.0000)
Se (0.7500, 0.2500, 0.5000)
Se (0.2500, 0.7500, 0.5000)

Values from the calculation:
- symmetry = I4/mmm
- M_tot (μB/f.u.) = 0.00
- ΔE_f (raw) (eV per atom) = -0.066
- Fermi-level density of states (states/eV/f.u.) = 3.2

Entry 18:
## Nb2SeS (GGA-PBEsol)

Data for crystalline Nb2SeS at its relaxed geometry.

a = 4.4379 Å, b = 4.4379 Å, c = 4.4379 Å
α = 60.00°, β = 60.00°, γ = 60.00°
Fractional positions:
Se (0.5000, 0.5000, 0.5000)
Nb (0.7500, 0.7500, 0.7500)
Nb (0.2500, 0.2500, 0.2500)
S (0.0000, 0.0000, 0.0000)

Values from the calculation:
- symmetry = Fm-3m
- M_tot (μB/f.u.) = 0.00
- ΔE_f (raw) (eV per atom) = -0.582
- Fermi-level density of states (states/eV/f.u.) = 5.1

Entry 19:
## Nb5Se2S2 (GGA-PBEsol)

Data for crystalline Nb5Se2S2 at its relaxed geometry.

a = 3.3555 Å, b = 7.0253 Å, c = 7.1553 Å
α = 84.31°, β = 76.44°, γ = 76.18°
Fractional positions:
Nb (0.3037, 0.0719, 0.3208)
Se (0.9441, 0.7626, 0.3493)
Nb (0.3726, 0.3303, 0.9245)
Se (0.0559, 0.2374, 0.6507)
S (0.2646, 0.6740, 0.7967)
Nb (0.6963, 0.9281, 0.6792)
Nb (0.6274, 0.6697, 0.0755)
Nb (0.0000, 0.0000, 0.0000)
S (0.7354, 0.3260, 0.2033)

Values from the calculation:
- symmetry = C2/m
- M_tot (μB/f.u.) = 0.00
- ΔE_f (raw) (eV per atom) = -0.860
- Fermi-level density of states (states/eV/f.u.) = 5.0

Entry 20:
## NbSeS (GGA-PBEsol)

Data for crystalline NbSeS at its relaxed geometry.

a = 3.3686 Å, b = 3.3686 Å, c = 12.1233 Å
α = 90.00°, β = 90.00°, γ = 120.00°
Fractional positions:
S (0.6667, 0.3333, 0.3895)
Se (0.6667, 0.3333, 0.1226)
Se (0.3333, 0.6667, 0.8774)
S (0.3333, 0.6667, 0.6105)
Nb (0.0000, 0.0000, 0.7352)
Nb (0.0000, 0.0000, 0.2648)

Values from the calculation:
- symmetry = P-3m1
- M_tot (μB/f.u.) = 0.00
- ΔE_f (raw) (eV per atom) = -0.975
- Fermi-level density of states (states/eV/f.u.) = 3.1